Here is crystalline Li3U4Se8 at its relaxed geometry from the Alexandria database. Energies are from PBE-GGA.

Cell: 11.316 11.432 8.049 Å, 90.00 134.61 90.00°
Space group C2/m (No. 12)
Inequivalent atoms, fractional coordinates:
Li 0.000 0.000 0.000 (multiplicity 2)
Li 0.250 0.250 0.000 (multiplicity 4)
U 0.000 0.000 0.500 (multiplicity 2)
U 0.000 0.500 0.000 (multiplicity 2)
U 0.250 0.250 0.500 (multiplicity 4)
Se 0.000 0.247 0.000 (multiplicity 4)
Se 0.000 0.251 0.500 (multiplicity 4)
Se 0.246 0.000 0.990 (multiplicity 4)
Se 0.246 0.500 0.507 (multiplicity 4)

Calculated values
Final energy   -6.408 eV per atom
Uncorrected formation energy   -111.65 kJ per mole of atoms



Here is crystalline CsMnSbTe2 at its relaxed geometry from the Alexandria database. Energies are from PBE-GGA.

Cell: 6.451 6.451 6.348 Å, 90.00 90.00 90.00°
Space group P4/mmm (No. 123)
Inequivalent atoms, fractional coordinates:
Cs 0.000 0.000 0.000 (multiplicity 1)
Mn 0.500 0.500 0.500 (multiplicity 1)
Sb 0.000 0.000 0.500 (multiplicity 1)
Te 0.000 0.500 0.000 (multiplicity 2)

Calculated values
Final energy   -2.615 eV per atom
Uncorrected formation energy   141.95 kJ per mole of atoms



Here is crystalline K2Al2Cd at its relaxed geometry from the Alexandria database. Energies are from PBE-GGA.

Cell: 7.327 7.327 5.882 Å, 90.00 90.00 90.00°
Space group P4/mbm (No. 127)
Inequivalent atoms, fractional coordinates:
K 0.181 0.319 0.000 (multiplicity 4)
Al 0.127 0.627 0.500 (multiplicity 4)
Cd 0.000 0.000 0.500 (multiplicity 2)

Calculated values
Final energy   -1.914 eV per atom



Here is crystalline Rb3ZnRe at its relaxed geometry from the Alexandria database. Energies are from PBE-GGA.

Cell: 6.711 6.711 6.711 Å, 90.00 90.00 90.00°
Space group Pm-3m (No. 221)
Inequivalent atoms, fractional coordinates:
Rb 0.000 0.000 0.500 (multiplicity 3)
Zn 0.500 0.500 0.500 (multiplicity 1)
Re 0.000 0.000 0.000 (multiplicity 1)

Calculated values
Final energy   -1.854 eV per atom



Here is crystalline Zr2ScAl at its relaxed geometry from the Alexandria database. Energies are from PBE-GGA.

Cell: 4.314 4.314 9.079 Å, 90.00 90.00 90.00°
Space group I-4m2 (No. 119)
Inequivalent atoms, fractional coordinates:
Zr 0.000 0.000 0.000 (multiplicity 2)
Zr 0.000 0.500 0.250 (multiplicity 2)
Sc 0.000 0.000 0.500 (multiplicity 2)
Al 0.000 0.500 0.750 (multiplicity 2)

Calculated values
Final energy   -7.047 eV per atom



Here is crystalline Ag15Pd4Au at its relaxed geometry from the Alexandria database. Energies are from PBE-GGA.

Cell: 4.090 4.090 20.731 Å, 90.00 90.00 90.00°
Space group P4/mmm (No. 123)
Inequivalent atoms, fractional coordinates:
Ag 0.000 0.000 0.000 (multiplicity 1)
Ag 0.000 0.000 0.202 (multiplicity 2)
Ag 0.000 0.000 0.401 (multiplicity 2)
Ag 0.000 0.500 0.103 (multiplicity 4)
Ag 0.000 0.500 0.302 (multiplicity 4)
Ag 0.000 0.500 0.500 (multiplicity 2)
Pd 0.500 0.500 0.202 (multiplicity 2)
Pd 0.500 0.500 0.401 (multiplicity 2)
Au 0.500 0.500 0.000 (multiplicity 1)

Calculated values
Final energy   -3.374 eV per atom